1.
Li4Ag15Pd | PBE-GGA | optimized geometry

Cell and atoms, written as CIF:
```
data_Li4Ag15Pd
_space_group_name_H-M_alt 'P 1'
_space_group_IT_number 1
_space_group_name_Hall 'P 1'
_cell_length_a 4.126
_cell_length_b 4.126
_cell_length_c 20.059
_cell_angle_alpha 90.00
_cell_angle_beta 90.00
_cell_angle_gamma 90.00
loop_
_atom_site_label
_atom_site_type_symbol
_atom_site_fract_x
_atom_site_fract_y
_atom_site_fract_z
_atom_site_occupancy
Ag1 Ag 0.500 0.000 0.700 1
Ag2 Ag 0.500 0.000 0.500 1
Ag3 Ag 0.500 0.500 0.000 1
Ag4 Ag 0.500 0.000 0.101 1
Ag5 Ag 0.000 0.500 0.500 1
Ag6 Ag 0.500 0.500 0.800 1
Ag7 Ag 0.500 0.500 0.200 1
Ag8 Ag 0.500 0.000 0.899 1
Ag9 Ag 0.500 0.500 0.400 1
Ag10 Ag 0.000 0.500 0.700 1
Ag11 Ag 0.500 0.000 0.300 1
Ag12 Ag 0.500 0.500 0.600 1
Ag13 Ag 0.000 0.500 0.101 1
Ag14 Ag 0.000 0.500 0.300 1
Ag15 Ag 0.000 0.500 0.899 1
Li1 Li 0.000 0.000 0.600 1
Li2 Li 0.000 0.000 0.801 1
Li3 Li 0.000 0.000 0.199 1
Li4 Li 0.000 0.000 0.400 1
Pd1 Pd 0.000 0.000 0.000 1
```

crystal system: tetragonal
calculated formation energy: -0.115 eV/atom

=====

2.
Tl2In3HgI6 | PBE-GGA | optimized geometry

Cell and atoms, written as CIF:
```
data_Tl2In3HgI6
_space_group_name_H-M_alt 'P 1'
_space_group_IT_number 1
_space_group_name_Hall 'P 1'
_cell_length_a 4.913
_cell_length_b 9.864
_cell_length_c 11.031
_cell_angle_alpha 102.94
_cell_angle_beta 102.87
_cell_angle_gamma 90.00
loop_
_atom_site_label
_atom_site_type_symbol
_atom_site_fract_x
_atom_site_fract_y
_atom_site_fract_z
_atom_site_occupancy
I1 I 0.663 0.584 0.327 1
I2 I 0.337 0.416 0.673 1
I3 I 0.669 0.081 0.337 1
I4 I 0.000 0.738 0.001 1
I5 I 0.000 0.262 0.999 1
I6 I 0.331 0.919 0.663 1
Hg1 Hg 0.500 0.000 0.000 1
Tl1 Tl 0.834 0.670 0.668 1
Tl2 Tl 0.166 0.330 0.332 1
In1 In 0.167 0.835 0.335 1
In2 In 0.833 0.165 0.665 1
In3 In 0.500 0.500 0.000 1
```

E_tot: -0.0854 hartree per atom
crystal system: monoclinic

=====

3.
Ce2GeO | PBE-GGA | optimized geometry

Cell and atoms, written as CIF:
```
data_Ce2GeO
_space_group_name_H-M_alt 'P 1'
_space_group_IT_number 1
_space_group_name_Hall 'P 1'
_cell_length_a 3.637
_cell_length_b 3.637
_cell_length_c 7.622
_cell_angle_alpha 76.20
_cell_angle_beta 76.20
_cell_angle_gamma 60.00
loop_
_atom_site_label
_atom_site_type_symbol
_atom_site_fract_x
_atom_site_fract_y
_atom_site_fract_z
_atom_site_occupancy
Ce1 Ce 0.095 0.095 0.714 1
Ce2 Ce 0.239 0.239 0.282 1
Ge1 Ge 0.668 0.668 0.997 1
O1 O 0.498 0.498 0.507 1
```

energy above the most stable polymorph in this dataset: 315.4 meV per atom
crystal system: trigonal

=====

> What is the formula in the third record?

Ce2GeO